# CeThBi | Alexandria via LeMat-Bulk | GGA-PBE | optimized geometry
data_CeThBi
_chemical_formula_sum 'Ce2 Th2 Bi2'
_space_group_name_H-M_alt 'I 4 m m'
_space_group_IT_number 107
_space_group_name_Hall 'I 4 -2'
_cell_length_a 4.319
_cell_length_b 4.319
_cell_length_c 9.871
_cell_angle_alpha 90.00
_cell_angle_beta 90.00
_cell_angle_gamma 90.00
loop_
_atom_site_label
_atom_site_fract_x
_atom_site_fract_y
_atom_site_fract_z
Ce1 0.000 0.000 0.000
Th1 0.000 0.000 0.287
Bi1 0.000 0.000 0.641
# Formation energy from the elements, eV/atom: -0.3178

# KCoAs2Br | Alexandria via LeMat-Bulk | GGA-PBE | optimized geometry
data_KCoAs2Br
_chemical_formula_sum 'K1 Co1 As2 Br1'
_space_group_name_H-M_alt 'P 4/m m m'
_space_group_IT_number 123
_space_group_name_Hall '-P 4 2'
_cell_length_a 4.402
_cell_length_b 4.402
_cell_length_c 8.688
_cell_angle_alpha 90.00
_cell_angle_beta 90.00
_cell_angle_gamma 90.00
loop_
_atom_site_label
_atom_site_fract_x
_atom_site_fract_y
_atom_site_fract_z
K1 0.000 0.000 0.000
Co1 0.500 0.500 0.500
As1 0.000 0.500 0.500
Br1 0.500 0.500 0.000
# Energy above the lowest structure with this stoichiometry, meV per atom: 0

# Ga2FeSn2 | Alexandria via LeMat-Bulk | GGA-PBE | optimized geometry
data_Ga2FeSn2
_chemical_formula_sum 'Ga4 Fe2 Sn4'
_space_group_name_H-M_alt 'P 4/m b m'
_space_group_IT_number 127
_space_group_name_Hall '-P 4 2ab'
_cell_length_a 6.596
_cell_length_b 6.596
_cell_length_c 4.747
_cell_angle_alpha 90.00
_cell_angle_beta 90.00
_cell_angle_gamma 90.00
loop_
_atom_site_label
_atom_site_fract_x
_atom_site_fract_y
_atom_site_fract_z
Ga1 0.147 0.353 0.000
Fe1 0.000 0.000 0.000
Sn1 0.173 0.673 0.500
# Energy above the lowest structure with this stoichiometry, meV per atom: 0
# Formation energy from the elements, eV/atom: 0.2576

# FeNi | Alexandria via LeMat-Bulk | GGA-PBE | optimized geometry
data_FeNi
_chemical_formula_sum 'Fe4 Ni4'
_space_group_name_H-M_alt 'C 1 2/m 1'
_space_group_IT_number 12
_cell_length_a 4.263
_cell_length_b 2.608
_cell_length_c 8.437
_cell_angle_alpha 90.00
_cell_angle_beta 103.20
_cell_angle_gamma 90.00
loop_
_space_group_symop_operation_xyz
'x,y,z'
'-x,-y,-z'
'-x,y,-z'
'x,-y,z'
'x+1/2,y+1/2,z'
'-x+1/2,-y+1/2,-z'
'-x+1/2,y+1/2,-z'
'x+1/2,-y+1/2,z'
loop_
_atom_site_label
_atom_site_fract_x
_atom_site_fract_y
_atom_site_fract_z
Fe1 0.198 0.000 0.372
Ni1 0.230 0.500 0.125
# Formation energy from the elements, eV/atom: 0.0036

# LiLaTbSe3 | Alexandria via LeMat-Bulk | GGA-PBE | optimized geometry
data_LiLaTbSe3
_chemical_formula_sum 'Li2 La2 Tb2 Se6'
_space_group_name_H-M_alt 'P 1 21/m 1'
_space_group_IT_number 11
_cell_length_a 8.539
_cell_length_b 4.072
_cell_length_c 8.947
_cell_angle_alpha 90.00
_cell_angle_beta 103.43
_cell_angle_gamma 90.00
loop_
_space_group_symop_operation_xyz
'x,y,z'
'-x,-y,-z'
'-x,y+1/2,-z'
'x,-y+1/2,z'
loop_
_atom_site_label
_atom_site_fract_x
_atom_site_fract_y
_atom_site_fract_z
Li1 0.087 0.250 0.085
La1 0.188 0.250 0.726
Tb1 0.334 0.750 0.340
Se1 0.098 0.250 0.368
Se2 0.219 0.750 0.003
Se3 0.434 0.750 0.675
# Energy, eV per atom: -5.397

# ScSb2Ir | Alexandria via LeMat-Bulk | GGA-PBE | optimized geometry
data_ScSb2Ir
_chemical_formula_sum 'Sc2 Sb4 Ir2'
_space_group_name_H-M_alt 'C 1 2/m 1'
_space_group_IT_number 12
_cell_length_a 7.234
_cell_length_b 4.191
_cell_length_c 6.316
_cell_angle_alpha 90.00
_cell_angle_beta 112.70
_cell_angle_gamma 90.00
loop_
_space_group_symop_operation_xyz
'x,y,z'
'-x,-y,-z'
'-x,y,-z'
'x,-y,z'
'x+1/2,y+1/2,z'
'-x+1/2,-y+1/2,-z'
'-x+1/2,y+1/2,-z'
'x+1/2,-y+1/2,z'
loop_
_atom_site_label
_atom_site_fract_x
_atom_site_fract_y
_atom_site_fract_z
Sc1 0.000 0.000 0.000
Sb1 0.237 0.000 0.711
Ir1 0.000 0.500 0.500
# Energy above the lowest structure with this stoichiometry, meV per atom: 28

# Ba2CaTe | Alexandria via LeMat-Bulk | GGA-PBE | optimized geometry
data_Ba2CaTe
_chemical_formula_sum 'Ba4 Ca2 Te2'
_space_group_name_H-M_alt 'C 1 2/m 1'
_space_group_IT_number 12
_cell_length_a 8.047
_cell_length_b 4.632
_cell_length_c 11.625
_cell_angle_alpha 90.00
_cell_angle_beta 103.16
_cell_angle_gamma 90.00
loop_
_space_group_symop_operation_xyz
'x,y,z'
'-x,-y,-z'
'-x,y,-z'
'x,-y,z'
'x+1/2,y+1/2,z'
'-x+1/2,-y+1/2,-z'
'-x+1/2,y+1/2,-z'
'x+1/2,-y+1/2,z'
loop_
_atom_site_label
_atom_site_fract_x
_atom_site_fract_y
_atom_site_fract_z
Ba1 0.230 0.000 0.192
Ca1 0.000 0.000 0.500
Te1 0.000 0.500 0.000
# Energy, eV per atom: -2.977

# Sr2FeW | Alexandria via LeMat-Bulk | GGA-PBE | optimized geometry
data_Sr2FeW
_chemical_formula_sum 'Sr4 Fe2 W2'
_space_group_name_H-M_alt 'C m m m'
_space_group_IT_number 65
_space_group_name_Hall '-C 2 2'
_cell_length_a 6.309
_cell_length_b 10.048
_cell_length_c 3.016
_cell_angle_alpha 90.00
_cell_angle_beta 90.00
_cell_angle_gamma 90.00
loop_
_atom_site_label
_atom_site_fract_x
_atom_site_fract_y
_atom_site_fract_z
Sr1 0.250 0.250 0.000
Fe1 0.000 0.000 0.500
W1 0.000 0.500 0.500
# Energy above the lowest structure with this stoichiometry, meV per atom: 821
# Formation energy from the elements, eV/atom: 1.3254